A plane-wave DFT calculation with GGA-PBE was carried out for Nd12AlSi6 after structural relaxation.

Formation energy without anion corrections = -0.491 eV/atom

a = 8.899 Å, b = 8.899 Å, c = 8.899 Å
α = 109.47°, β = 109.47°, γ = 109.47°
Fractional positions:
Nd 0.108 0.296 0.812
Nd 0.188 0.484 0.296
Nd 0.188 0.892 0.704
Nd 0.296 0.188 0.484
Nd 0.296 0.812 0.108
Nd 0.484 0.296 0.188
Nd 0.516 0.704 0.812
Nd 0.704 0.188 0.892
Nd 0.704 0.812 0.516
Nd 0.812 0.108 0.296
Nd 0.812 0.516 0.704
Nd 0.892 0.704 0.188
Al 0.000 0.000 0.000
Si 0.114 0.500 0.614
Si 0.386 0.886 0.500
Si 0.500 0.386 0.886
Si 0.500 0.614 0.114
Si 0.614 0.114 0.500
Si 0.886 0.500 0.386

=====

A plane-wave DFT calculation with GGA-PBE was carried out for SiSb2Mo after structural relaxation.

Formation energy without anion corrections = 0.677 eV/atom

a = 3.518 Å, b = 4.376 Å, c = 5.303 Å
α = 90.00°, β = 90.00°, γ = 90.00°
Fractional positions:
Si 0.000 0.000 0.000
Sb 0.000 0.500 0.500
Sb 0.500 0.500 0.000
Mo 0.500 0.000 0.500

=====

A plane-wave DFT calculation with GGA-PBE was carried out for CsTl12 after structural relaxation.

Formation enthalpy at 0 K = 0.181 eV per atom

a = 9.311 Å, b = 9.311 Å, c = 9.311 Å
α = 60.00°, β = 60.00°, γ = 60.00°
Fractional positions:
Cs 0.000 0.000 0.000
Tl 0.160 0.500 0.500
Tl 0.160 0.500 0.840
Tl 0.160 0.840 0.500
Tl 0.500 0.160 0.500
Tl 0.500 0.160 0.840
Tl 0.500 0.500 0.160
Tl 0.500 0.500 0.840
Tl 0.500 0.840 0.160
Tl 0.500 0.840 0.500
Tl 0.840 0.160 0.500
Tl 0.840 0.500 0.160
Tl 0.840 0.500 0.500

=====

A plane-wave DFT calculation with GGA-PBE was carried out for Pm7Ho3In after structural relaxation.

Formation enthalpy at 0 K = 0.106 eV per atom

a = 7.067 Å, b = 7.067 Å, c = 8.587 Å
α = 90.00°, β = 90.00°, γ = 120.00°
Fractional positions:
Pm 0.000 0.000 0.000
Pm 0.164 0.328 0.660
Pm 0.164 0.836 0.660
Pm 0.502 0.004 0.991
Pm 0.502 0.498 0.991
Pm 0.672 0.836 0.660
Pm 0.996 0.498 0.991
Ho 0.333 0.167 0.329
Ho 0.833 0.167 0.329
Ho 0.833 0.667 0.329
In 0.667 0.333 0.651